Record 1
BaMo2S2 after structural relaxation. Source: Alexandria, functional PBE-GGA.

Cell and atoms, written as CIF:
```
data_BaMo2S2
_space_group_name_H-M_alt 'P 4/m b m'
_space_group_IT_number 127
_space_group_name_Hall '-P 4 2ab'
_cell_length_a 7.9451
_cell_length_b 7.9451
_cell_length_c 3.2604
_cell_angle_alpha 90.00
_cell_angle_beta 90.00
_cell_angle_gamma 90.00
loop_
_atom_site_label
_atom_site_type_symbol
_atom_site_fract_x
_atom_site_fract_y
_atom_site_fract_z
Ba1 Ba 0.0000 0.0000 0.0000
Mo1 Mo 0.0978 0.4022 0.0000
S1 S 0.1664 0.6664 0.5000
```

As for the raw formation energy: 0.182 eV per atom. The density of states at the Fermi level comes out at 0.814 states/eV per atom. For the relative energy among the computed polymorphs, the calculation gives 571.6 meV per atom. For the final energy, the calculation gives -6.19 eV/atom.



Record 2
BaMo6S8 after structural relaxation. Source: Alexandria, functional PBE-GGA.

Cell and atoms, written as CIF:
```
data_BaMo6S8
_space_group_name_H-M_alt 'P -1'
_space_group_IT_number 2
_cell_length_a 6.6604
_cell_length_b 6.7228
_cell_length_c 6.7670
_cell_angle_alpha 89.03
_cell_angle_beta 89.01
_cell_angle_gamma 88.04
loop_
_space_group_symop_operation_xyz
'x,y,z'
'-x,-y,-z'
loop_
_atom_site_label
_atom_site_type_symbol
_atom_site_fract_x
_atom_site_fract_y
_atom_site_fract_z
Ba1 Ba 0.0000 0.0000 0.0000
Mo1 Mo 0.2402 0.5642 0.4185
Mo2 Mo 0.4172 0.2331 0.5643
Mo3 Mo 0.4328 0.5836 0.7664
S1 S 0.1249 0.3919 0.7336
S2 S 0.2588 0.2468 0.2523
S3 S 0.2657 0.8767 0.6122
S4 S 0.3929 0.7320 0.1255
```

As for the raw formation energy: -0.904 eV per atom. The density of states at the Fermi level comes out at 0.570 states/eV per atom. For the final energy, the calculation gives -7.57 eV/atom.



Record 3
BaMo2S after structural relaxation. Source: Alexandria, functional PBE-GGA.

Cell and atoms, written as CIF:
```
data_BaMo2S
_space_group_name_H-M_alt 'I -4 2 d'
_space_group_IT_number 122
_space_group_name_Hall 'I -4 2bw'
_cell_length_a 4.7832
_cell_length_b 4.7832
_cell_length_c 17.6731
_cell_angle_alpha 90.00
_cell_angle_beta 90.00
_cell_angle_gamma 90.00
loop_
_atom_site_label
_atom_site_type_symbol
_atom_site_fract_x
_atom_site_fract_y
_atom_site_fract_z
Ba1 Ba 0.0000 0.0000 0.0000
Mo1 Mo 0.0333 0.7500 0.6250
S1 S 0.0000 0.0000 0.5000
```

As for the raw formation energy: 0.393 eV per atom. The density of states at the Fermi level comes out at 1.245 states/eV per atom. For the final energy, the calculation gives -6.53 eV/atom.



Record 4
BaMoS2 after structural relaxation. Source: Alexandria, functional PBE-GGA.

Cell and atoms, written as CIF:
```
data_BaMoS2
_space_group_name_H-M_alt 'R -3 m'
_space_group_IT_number 166
_space_group_name_Hall '-R 3 2"'
_cell_length_a 3.6514
_cell_length_b 3.6514
_cell_length_c 26.4357
_cell_angle_alpha 90.00
_cell_angle_beta 90.00
_cell_angle_gamma 120.00
loop_
_atom_site_label
_atom_site_type_symbol
_atom_site_fract_x
_atom_site_fract_y
_atom_site_fract_z
Ba1 Ba 0.0000 0.0000 0.0000
Mo1 Mo 0.0000 0.0000 0.5000
S1 S 0.0000 0.0000 0.1158
```

As for the raw formation energy: -0.376 eV per atom. The density of states at the Fermi level comes out at 0.978 states/eV per atom. For the relative energy among the computed polymorphs, the calculation gives 410.8 meV per atom. For the final energy, the calculation gives -5.63 eV/atom.



Record 5
Ba2MoS5 after structural relaxation. Source: Alexandria, functional PBE-GGA.

Cell and atoms, written as CIF:
```
data_Ba2MoS5
_space_group_name_H-M_alt 'I 4 m m'
_space_group_IT_number 107
_space_group_name_Hall 'I 4 -2'
_cell_length_a 7.1796
_cell_length_b 7.1796
_cell_length_c 8.6403
_cell_angle_alpha 90.00
_cell_angle_beta 90.00
_cell_angle_gamma 90.00
loop_
_atom_site_label
_atom_site_type_symbol
_atom_site_fract_x
_atom_site_fract_y
_atom_site_fract_z
Ba1 Ba 0.0000 0.5000 0.0000
Mo1 Mo 0.0000 0.0000 0.1913
S1 S 0.0000 0.0000 0.9434
S2 S 0.2266 0.2266 0.2566
```

As for the raw formation energy: -1.256 eV per atom. The density of states at the Fermi level comes out at 0.061 states/eV per atom. For the final energy, the calculation gives -5.67 eV/atom.



Record 6
Ba2MoS after structural relaxation. Source: Alexandria, functional PBE-GGA.

Cell and atoms, written as CIF:
```
data_Ba2MoS
_space_group_name_H-M_alt 'I -4 2 d'
_space_group_IT_number 122
_space_group_name_Hall 'I -4 2bw'
_cell_length_a 8.5948
_cell_length_b 8.5948
_cell_length_c 8.7683
_cell_angle_alpha 90.00
_cell_angle_beta 90.00
_cell_angle_gamma 90.00
loop_
_atom_site_label
_atom_site_type_symbol
_atom_site_fract_x
_atom_site_fract_y
_atom_site_fract_z
Ba1 Ba 0.2114 0.2500 0.1250
Mo1 Mo 0.0000 0.0000 0.5000
S1 S 0.0000 0.0000 0.0000
```

As for the raw formation energy: 0.209 eV per atom. The density of states at the Fermi level comes out at 0.114 states/eV per atom. For the final energy, the calculation gives -4.49 eV/atom.



Record 7
BaMoS3 after structural relaxation. Source: Alexandria, functional PBE-GGA.

Cell and atoms, written as CIF:
```
data_BaMoS3
_space_group_name_H-M_alt 'P 1 21/c 1'
_space_group_IT_number 14
_cell_length_a 8.0011
_cell_length_b 6.4420
_cell_length_c 10.1217
_cell_angle_alpha 90.00
_cell_angle_beta 98.80
_cell_angle_gamma 90.00
loop_
_space_group_symop_operation_xyz
'x,y,z'
'-x,-y,-z'
'-x,y+1/2,-z+1/2'
'x,-y+1/2,z+1/2'
loop_
_atom_site_label
_atom_site_type_symbol
_atom_site_fract_x
_atom_site_fract_y
_atom_site_fract_z
Ba1 Ba 0.1388 0.2306 0.1661
Mo1 Mo 0.4161 0.6824 0.1284
S1 S 0.1181 0.7483 0.6120
S2 S 0.3322 0.0655 0.4521
S3 S 0.4679 0.5176 0.3269
```

As for the raw formation energy: -1.025 eV per atom. The density of states at the Fermi level comes out at 0.724 states/eV per atom. For the final energy, the calculation gives -6.05 eV/atom.



Record 8
BaMoS2 after structural relaxation. Source: Alexandria, functional PBE-GGA.

Cell and atoms, written as CIF:
```
data_BaMoS2
_space_group_name_H-M_alt 'F m -3 m'
_space_group_IT_number 225
_space_group_name_Hall '-F 4 2 3'
_cell_length_a 6.8884
_cell_length_b 6.8884
_cell_length_c 6.8884
_cell_angle_alpha 90.00
_cell_angle_beta 90.00
_cell_angle_gamma 90.00
loop_
_atom_site_label
_atom_site_type_symbol
_atom_site_fract_x
_atom_site_fract_y
_atom_site_fract_z
Ba1 Ba 0.0000 0.0000 0.0000
Mo1 Mo 0.0000 0.0000 0.5000
S1 S 0.2500 0.2500 0.2500
```

As for the raw formation energy: -0.244 eV per atom. The density of states at the Fermi level comes out at 0.000 states/eV per atom. For the relative energy among the computed polymorphs, the calculation gives 542.9 meV per atom. For the final energy, the calculation gives -5.50 eV/atom.